Entry from the Alexandria database: a relaxed structure of V6H3N (PBE).

Results
M_tot ... 0.00 μB per formula unit
ρ ... 5.4 g cm⁻³
E_tot ... -7.343 eV/atom
Crystal system ... orthorhombic
E above lowest polymorph ... 285.0 meV/atom

Unit cell a=4.246 b=6.967 c=6.967 alpha=107.21 beta=90.00 gamma=90.00
Element x y z (fractional)
V (0.160, 0.399, 0.280)
H (0.994, 0.123, 0.235)
V (0.670, 0.214, 0.786)
V (0.161, 0.499, 0.897)
V (0.661, 0.897, 0.499)
V (0.660, 0.601, 0.720)
H (0.494, 0.235, 0.123)
V (0.661, 0.501, 0.103)
V (0.660, 0.280, 0.399)
V (0.679, 0.945, 0.055)
H (0.494, 0.877, 0.765)
V (0.160, 0.720, 0.601)
V (0.170, 0.786, 0.214)
H (0.341, 0.455, 0.545)
N (0.166, 0.224, 0.776)
V (0.161, 0.103, 0.501)
H (0.994, 0.765, 0.877)
N (0.666, 0.776, 0.224)
H (0.841, 0.545, 0.455)
V (0.179, 0.055, 0.945)

---

Entry from the Alexandria database: a relaxed structure of VHN (PBE).

Results
M_tot ... 0.00 μB per formula unit
ρ ... 4.9 g cm⁻³
E_tot ... -7.153 eV/atom
Crystal system ... monoclinic
E above lowest polymorph ... 120.3 meV/atom

Unit cell a=3.679 b=5.063 c=5.802 alpha=56.18 beta=90.00 gamma=90.00
Element x y z (fractional)
V (0.140, 0.319, 0.473)
N (0.366, 0.780, 0.351)
V (0.860, 0.681, 0.527)
N (0.866, 0.720, 0.149)
N (0.134, 0.280, 0.851)
H (0.107, 0.882, 0.675)
V (0.640, 0.181, 0.027)
H (0.393, 0.382, 0.175)
N (0.634, 0.220, 0.649)
H (0.607, 0.618, 0.825)
V (0.360, 0.819, 0.973)
H (0.893, 0.118, 0.325)

---

Entry from the Alexandria database: a relaxed structure of VHN (PBE).

Results
M_tot ... 1.00 μB per formula unit
ρ ... 4.6 g cm⁻³
E_tot ... -7.245 eV/atom
Crystal system ... cubic
E above lowest polymorph ... 29.2 meV/atom

Unit cell a=3.231 b=3.231 c=3.231 alpha=60.00 beta=60.00 gamma=60.00
Element x y z (fractional)
V (0.250, 0.250, 0.250)
H (0.500, 0.500, 0.500)
N (0.000, 0.000, 0.000)

---

Entry from the Alexandria database: a relaxed structure of V8HN2 (PBE).

Results
M_tot ... 0.00 μB per formula unit
ρ ... 6.0 g cm⁻³
E_tot ... -8.969 eV/atom
Crystal system ... monoclinic

Unit cell a=4.188 b=5.455 c=5.455 alpha=76.07 beta=91.47 gamma=91.47
Element x y z (fractional)
V (0.246, 0.340, 0.907)
V (0.728, 0.145, 0.145)
N (0.255, 0.620, 0.620)
V (0.272, 0.855, 0.855)
V (0.754, 0.618, 0.618)
H (0.000, 0.000, 0.000)
N (0.745, 0.380, 0.380)
V (0.754, 0.660, 0.093)
V (0.754, 0.093, 0.660)
V (0.246, 0.382, 0.382)
V (0.246, 0.907, 0.340)

---

Entry from the Alexandria database: a relaxed structure of V4HN (PBE).

Results
M_tot ... 0.00 μB per formula unit
ρ ... 5.8 g cm⁻³
E_tot ... -8.409 eV/atom
Crystal system ... monoclinic
E above lowest polymorph ... 132.5 meV/atom

Unit cell a=4.719 b=4.967 c=5.419 alpha=97.78 beta=90.00 gamma=90.00
Element x y z (fractional)
V (0.826, 0.370, 0.794)
V (0.696, 0.864, 0.077)
V (0.174, 0.630, 0.206)
V (0.674, 0.370, 0.294)
H (0.000, 0.000, 0.000)
V (0.196, 0.136, 0.423)
N (0.000, 0.500, 0.500)
H (0.500, 0.000, 0.500)
N (0.500, 0.500, 0.000)
V (0.804, 0.864, 0.577)
V (0.326, 0.630, 0.706)
V (0.304, 0.136, 0.923)

---

Entry from the Alexandria database: a relaxed structure of VHN3 (PBE).

Results
M_tot ... 0.31 μB per formula unit
ρ ... 4.6 g cm⁻³
E_tot ... -5.899 eV/atom
Crystal system ... cubic

Unit cell a=3.244 b=3.244 c=3.244 alpha=90.00 beta=90.00 gamma=90.00
Element x y z (fractional)
N (0.000, 0.500, 0.000)
V (0.500, 0.500, 0.500)
N (0.000, 0.000, 0.500)
H (0.000, 0.000, 0.000)
N (0.500, 0.000, 0.000)

---

Entry from the Alexandria database: a relaxed structure of V4HN (PBE).

Results
M_tot ... 0.00 μB per formula unit
ρ ... 5.8 g cm⁻³
E_tot ... -8.542 eV/atom
Crystal system ... tetragonal
E above lowest polymorph ... 0.0 meV/atom

Unit cell a=5.460 b=5.460 c=5.460 alpha=106.66 beta=106.66 gamma=115.26
Element x y z (fractional)
V (0.706, 0.500, 0.206)
V (0.787, 0.005, 0.782)
N (0.998, 0.498, 0.500)
V (0.250, 0.544, 0.294)
H (0.742, 0.742, 0.000)
V (0.250, 0.956, 0.706)
V (0.755, 0.473, 0.718)
V (0.755, 0.037, 0.282)
V (0.223, 0.005, 0.218)
N (0.248, 0.248, 0.000)
V (0.293, 0.500, 0.794)
H (0.492, 0.992, 0.500)

---

Entry from the Alexandria database: a relaxed structure of V8H2N (PBE).

Results
M_tot ... 0.00 μB per formula unit
ρ ... 5.9 g cm⁻³
E_tot ... -8.329 eV/atom
Crystal system ... monoclinic

Unit cell a=4.433 b=5.346 c=5.346 alpha=69.95 beta=86.82 gamma=86.82
Element x y z (fractional)
V (0.761, 0.374, 0.374)
V (0.769, 0.891, 0.357)
V (0.295, 0.146, 0.146)
N (0.000, 0.000, 0.000)
V (0.231, 0.109, 0.643)
V (0.705, 0.854, 0.854)
V (0.769, 0.357, 0.891)
H (0.354, 0.412, 0.412)
V (0.239, 0.626, 0.626)
H (0.646, 0.588, 0.588)
V (0.231, 0.643, 0.109)